Here is a relaxed structure of CaAgBIr2 from Alexandria via LeMat-Bulk. Energies are from PBE.

Geometry as POSCAR:
```
CaAgBIr2
1.0
-1.664 -3.408 -1.843
2.534 -2.475 2.288
-3.122 -0.218 3.222
Ca Ir B Ag
1 2 1 1
Cartesian
-1.126 -3.050 1.834 Ca
1.267 -1.237 1.144 Ir
-0.832 -1.704 -0.922 Ir
0.000 0.000 0.000 B
-1.561 -0.109 1.611 Ag
```

Crystal system = tetragonal
Formation energy = -0.22 eV per atom
Space-group type = P4/mmm

Here is a relaxed structure of CaMgAgB2 from Alexandria via LeMat-Bulk. Energies are from PBE.

Geometry as POSCAR:
```
CaMgAgB2
1.0
4.370 0.000 0.000
0.000 4.768 0.000
0.000 0.000 4.370
Ca B Mg Ag
1 2 1 1
Cartesian
2.185 2.384 2.185 Ca
0.000 0.000 2.185 B
2.185 0.000 0.000 B
0.000 2.384 0.000 Mg
0.000 0.000 0.000 Ag
```

Crystal system = tetragonal
Formation energy = 1.04 eV per atom
Space-group type = P4/mmm

Here is a relaxed structure of CaAgBO3 from Alexandria via LeMat-Bulk. Energies are from PBE.

Geometry as POSCAR:
```
CaAgBO3
1.0
5.349 0.000 0.000
-2.674 4.632 0.000
0.000 0.000 6.525
Ca Ag B O
2 2 2 6
Cartesian
0.000 0.000 3.263 Ca
0.000 0.000 0.000 Ca
2.674 1.544 1.631 Ag
0.000 3.088 4.894 Ag
0.000 3.088 1.631 B
2.674 1.544 4.894 B
3.876 0.850 4.894 O
0.000 1.701 1.631 O
1.473 0.850 4.894 O
1.202 3.782 1.631 O
2.674 2.932 4.894 O
-1.202 3.782 1.631 O
```

Crystal system = hexagonal
Formation energy (no corrections) = -12.322 eV/f.u.
Space-group type = P6_3/mmc

Here is a relaxed structure of CaAgBOs2 from Alexandria via LeMat-Bulk. Energies are from PBE.

Geometry as POSCAR:
```
CaAgBOs2
1.0
-4.845 -1.341 0.177
1.050 -3.598 1.472
-0.332 1.817 4.679
Ca B Os Ag
1 1 2 1
Cartesian
-2.064 -1.561 3.164 Ca
0.525 -1.799 0.736 B
-0.166 0.909 2.339 Os
-2.422 -0.671 0.088 Os
0.000 0.000 0.000 Ag
```

Crystal system = tetragonal
Formation energy = 2.03 eV per atom
Space-group type = P4/mmm

| no. | total magnetic moment (μB per cell) | D(E_F) (states/eV/atom) |
| --- | --- | --- |
| 1 | 0.00 | 0.27 |
| 2 | 0.00 | 0.49 |
| 3 | 0.00 | 0.03 |
| 4 | 2.74 | 1.17 |